The following is a DFT calculation (PBE-GGA) of crystalline Ga2TeN at its relaxed geometry.

Lattice parameters (Å, degrees): 5.9182 5.9182 8.8764 90.00 90.00 90.00
Closest atoms and distances in Å follow each position.
Fractional coordinates of all 16 atoms:
Ga  0.1443  0.2500  0.1250  2 N 2.04
Ga  0.2500  0.6443  0.3750  2 N 2.04
Ga  0.2500  0.8557  0.8750  2 N 2.04
Ga  0.3557  0.2500  0.6250  2 N 2.04
Ga  0.6443  0.7500  0.6250  2 N 2.04
Ga  0.7500  0.1443  0.8750  2 N 2.04
Ga  0.7500  0.3557  0.3750  2 N 2.04
Ga  0.8557  0.7500  0.1250  2 N 2.04
Te  0.0000  0.0000  0.5000  4 Ga 2.80
Te  0.0000  0.5000  0.7500  4 Ga 2.80
Te  0.5000  0.0000  0.2500  4 Ga 2.80
Te  0.5000  0.5000  0.0000  4 Ga 2.80
N  0.0000  0.0000  0.0000  4 Ga 2.04
N  0.0000  0.5000  0.2500  4 Ga 2.04
N  0.5000  0.0000  0.7500  4 Ga 2.04
N  0.5000  0.5000  0.5000  4 Ga 2.04

- Fermi-level density of states: 2.11 states/eV/f.u.
- E_tot: -69.916 eV/cell

The following is a DFT calculation (PBE-GGA) of crystalline CaNi2Br at its relaxed geometry.

Lattice parameters (Å, degrees): 3.8474 3.8474 10.3677 90.00 90.00 90.00
Closest atoms and distances in Å follow each position.
Fractional coordinates of all 8 atoms:
Ca  0.0000  0.0000  0.0000  4 Br 2.72
Ca  0.5000  0.5000  0.5000  4 Br 2.72
Ni  0.0000  0.5000  0.2500  4 Ni 2.72
Ni  0.0000  0.5000  0.7500  4 Ni 2.72
Ni  0.5000  0.0000  0.2500  4 Ni 2.72
Ni  0.5000  0.0000  0.7500  4 Ni 2.72
Br  0.0000  0.0000  0.5000  4 Ca 2.72
Br  0.5000  0.5000  0.0000  4 Ca 2.72

- Fermi-level density of states: 8.24 states/eV/f.u.
- E_tot: -29.775 eV/cell

The following is a DFT calculation (PBE-GGA) of crystalline MnTl6I8 at its relaxed geometry.

Lattice parameters (Å, degrees): 10.3458 10.3458 6.8793 90.00 90.00 120.00
Closest atoms and distances in Å follow each position.
Fractional coordinates of all 15 atoms:
Mn  0.0000  0.0000  0.0000  6 I 2.95
Tl  0.0007  0.3741  0.7169  6 I 3.42-3.78
Tl  0.3734  0.9993  0.7169  6 I 3.42-3.78
Tl  0.3741  0.3734  0.2831  6 I 3.42-3.78
Tl  0.6259  0.6266  0.7169  6 I 3.42-3.78
Tl  0.6266  0.0007  0.2831  6 I 3.42-3.78
Tl  0.9993  0.6259  0.2831  6 I 3.42-3.78
I  0.0004  0.2413  0.2284  1 Mn 2.95
I  0.9996  0.7587  0.7716  1 Mn 2.95
I  0.2408  0.9996  0.2284  1 Mn 2.95
I  0.2413  0.2408  0.7716  1 Mn 2.95
I  0.3333  0.6667  0.4991  6 Tl 3.58-3.59
I  0.6667  0.3333  0.5009  6 Tl 3.58-3.59
I  0.7592  0.0004  0.7716  1 Mn 2.95
I  0.7587  0.7592  0.2284  1 Mn 2.95

- Fermi-level density of states: 0.00 states/eV/f.u.
- E_tot: -44.417 eV/cell

The following is a DFT calculation (PBE-GGA) of crystalline Nd5DyEr at its relaxed geometry.

Lattice parameters (Å, degrees): 5.9174 8.8484 12.1674 90.00 90.00 90.00
Closest atoms and distances in Å follow each position.
Fractional coordinates of all 14 atoms:
Nd  0.0000  0.0000  0.0000  2 Er 2.96
Nd  0.0000  0.1770  0.5000  1 Er 2.86, 1 Nd 3.13
Nd  0.0000  0.5000  0.2520  1 Er 3.02, 1 Dy 3.07
Nd  0.0000  0.5000  0.7480  1 Er 3.02, 1 Dy 3.07
Nd  0.0000  0.8230  0.5000  1 Er 2.86, 1 Nd 3.13
Nd  0.5000  0.0000  0.2480  1 Er 3.02, 1 Dy 3.07
Nd  0.5000  0.0000  0.7520  1 Er 3.02, 1 Dy 3.07
Nd  0.5000  0.3230  0.0000  1 Er 2.86, 1 Nd 3.13
Nd  0.5000  0.5000  0.5000  2 Er 2.96
Nd  0.5000  0.6770  0.0000  1 Er 2.86, 1 Nd 3.13
Dy  0.0000  0.5000  0.0000  6 Nd 3.07-3.35
Dy  0.5000  0.0000  0.5000  6 Nd 3.07-3.35
Er  0.0000  0.5000  0.5000  6 Nd 2.86-3.02
Er  0.5000  0.0000  0.0000  6 Nd 2.86-3.02

- Energy relative to the elements: 983 meV/atom
- Fermi-level density of states: 12.33 states/eV/f.u.
- E_tot: -52.241 eV/cell

Number 1: total magnetic moment 0.000 μB per formula unit. Number 2: total magnetic moment 0.926 μB per formula unit. Number 3: total magnetic moment 4.994 μB per formula unit. Number 4: total magnetic moment 0.000 μB per formula unit.